Entry from the Alexandria database: a relaxed Dy2GeTe crystal (PBE).

a b c (Å): 5.1395 5.1395 5.9336
angles (deg): 90.00 90.00 120.00
Closest atoms and distances in Å follow each position.
Space group P-6m2 (No. 187)
Inequivalent atoms, fractional coordinates:
1 Dy 0.0000 0.0000 0.0000  2 Te 2.97, 3 Ge 2.97
2 Dy 0.3333 0.6667 0.5000  2 Ge 2.97, 3 Te 2.97
3 Ge 0.3333 0.6667 0.0000  5 Dy 2.97
4 Te 0.0000 0.0000 0.5000  5 Dy 2.97

Computed properties:
The calculation puts the final energy at -5.08 eV/atom. As for the total magnetic moment: 0.00 μB per atom. Its mass density is 6.426 g/cm³. The density of states at the Fermi level is 1.1 states/eV per cell. For the uncorrected formation energy, the calculation gives -838 meV/atom.

Entry from the Alexandria database: a relaxed DyGeTe4 crystal (PBE).

a b c (Å): 10.2511 8.1043 10.0988
angles (deg): 90.00 90.00 90.00
Closest atoms and distances in Å follow each position.
Space group Cmcm (No. 63)
Inequivalent atoms, fractional coordinates:
1 Dy 0.0000 0.1256 0.2500  8 Te 3.14-3.45
2 Ge 0.0000 0.4161 0.7500  4 Te 2.60-2.70
3 Te 0.0000 0.1811 0.5603  1 Ge 2.70
4 Te 0.2113 0.4058 0.2500  1 Ge 2.60

Computed properties:
The calculation puts the final energy at -4.08 eV/atom. As for the total magnetic moment: 0.00 μB per atom. Its mass density is 5.902 g/cm³. The density of states at the Fermi level is 12.4 states/eV per cell. For the uncorrected formation energy, the calculation gives -448 meV/atom.

Entry from the Alexandria database: a relaxed Dy2GeTe4 crystal (PBE).

a b c (Å): 15.9141 4.3462 7.6178
angles (deg): 90.00 117.18 90.00
Closest atoms and distances in Å follow each position.
Space group C2/m (No. 12)
Inequivalent atoms, fractional coordinates:
1 Dy 0.2376 0.0000 0.2228  6 Te 3.03-3.16
2 Ge 0.0000 0.5000 0.5000  6 Te 3.02-3.06
3 Te 0.1174 0.5000 0.9436  1 Ge 3.02, 3 Dy 3.03-3.10
4 Te 0.1301 0.0000 0.4757  2 Ge 3.06, 3 Dy 3.11-3.16

Computed properties:
The calculation puts the final energy at -4.75 eV/atom. As for the total magnetic moment: 0.00 μB per atom. Its mass density is 6.434 g/cm³. For the uncorrected formation energy, the calculation gives -985 meV/atom.

Entry from the Alexandria database: a relaxed Dy2GeTe crystal (PBE).

a b c (Å): 4.2228 4.2228 21.7527
angles (deg): 90.00 90.00 120.00
Closest atoms and distances in Å follow each position.
Space group R3m (No. 160, hexagonal axes)
Inequivalent atoms, fractional coordinates:
1 Dy 0.0000 0.0000 0.0000  3 Ge 2.91, 3 Te 3.21
2 Dy 0.0000 0.0000 0.1899  3 Ge 2.88, 3 Te 3.18
3 Ge 0.0000 0.0000 0.5935  6 Dy 2.88-2.91
4 Te 0.0000 0.0000 0.7629  6 Dy 3.18-3.21

Computed properties:
The calculation puts the final energy at -5.36 eV/atom. As for the total magnetic moment: 0.00 μB per atom. Its mass density is 7.789 g/cm³. The density of states at the Fermi level is 2.0 states/eV per cell. For the uncorrected formation energy, the calculation gives -1118 meV/atom.

Entry from the Alexandria database: a relaxed Dy4GeTe2 crystal (PBE).

a b c (Å): 9.3397 9.3397 9.2989
angles (deg): 90.00 90.00 90.00
Closest atoms and distances in Å follow each position.
Space group I4_1/amd (No. 141, origin choice 2)
Inequivalent atoms, fractional coordinates:
1 Dy 0.0000 0.0498 0.1781  1 Ge 2.84, 3 Te 3.03-3.07
2 Ge 0.0000 0.2500 0.8750  4 Dy 2.84
3 Te 0.0000 0.0000 0.5000  6 Dy 3.03-3.07

Computed properties:
The calculation puts the final energy at -5.12 eV/atom. As for the total magnetic moment: 0.00 μB per atom. Its mass density is 8.007 g/cm³. The density of states at the Fermi level is 24.6 states/eV per cell. For the uncorrected formation energy, the calculation gives -929 meV/atom.

Entry from the Alexandria database: a relaxed Dy6GeTe5 crystal (PBE).

a b c (Å): 7.5141 12.9903 7.5066
angles (deg): 90.00 109.40 90.00
Closest atoms and distances in Å follow each position.
Space group C2/m (No. 12)
Inequivalent atoms, fractional coordinates:
1 Dy 0.2258 0.0000 0.2620  1 Ge 2.84, 4 Te 3.09-3.12
2 Dy 0.2300 0.1541 0.7308  1 Ge 2.83, 4 Te 3.08-3.09
3 Ge 0.0000 0.0000 0.5000  6 Dy 2.83-2.84
4 Te 0.0000 0.1753 0.0000  6 Dy 3.08-3.22
5 Te 0.0000 0.3355 0.5000  6 Dy 3.08-3.09
6 Te 0.0000 0.5000 0.0000  6 Dy 3.08-3.29

Computed properties:
The calculation puts the final energy at -5.29 eV/atom. As for the total magnetic moment: 0.00 μB per atom. Its mass density is 8.100 g/cm³. The density of states at the Fermi level is 13.3 states/eV per cell. For the uncorrected formation energy, the calculation gives -1299 meV/atom.